A relaxed structure of Ba2Zn3GaGe4, computed with PBE-GGA.

* calculated total energy: -3.29 eV/atom
* energy of formation from the pure elements: -377 meV per atom
* crystal system: tetragonal

```
data_Ba2Zn3GaGe4
_chemical_formula_sum 'Ba2 Zn3 Ga1 Ge4'
_cell_length_a 4.5819
_cell_length_b 4.5819
_cell_length_c 10.7563
_cell_angle_alpha 90.00
_cell_angle_beta 90.00
_cell_angle_gamma 90.00
_symmetry_space_group_name_H-M 'P 1'
_symmetry_Int_Tables_number 1
_symmetry_space_group_name_Hall 'P 1'
loop_
_atom_site_label
_atom_site_type_symbol
_atom_site_fract_x
_atom_site_fract_y
_atom_site_fract_z
_atom_site_occupancy
Ba1 Ba 0.5000 0.0000 0.2497 1
Ba2 Ba 0.0000 0.5000 0.7503 1
Zn1 Zn 0.0000 0.0000 0.5000 1
Zn2 Zn 0.5000 0.0000 0.8732 1
Zn3 Zn 0.0000 0.5000 0.1268 1
Ga1 Ga 0.5000 0.5000 0.5000 1
Ge1 Ge 0.5000 0.5000 0.0000 1
Ge2 Ge 0.0000 0.0000 0.0000 1
Ge3 Ge 0.5000 0.0000 0.6306 1
Ge4 Ge 0.0000 0.5000 0.3694 1
```

---

A relaxed structure of BaGaH4, computed with PBE-GGA.

* offset from the most stable computed form: 11.70 kJ per mole of atoms
* calculated total energy: -3.14 eV/atom
* crystal system: monoclinic

```
data_BaGaH4
_chemical_formula_sum 'Ba1 Ga1 H4'
_cell_length_a 4.1134
_cell_length_b 4.9518
_cell_length_c 4.9518
_cell_angle_alpha 67.98
_cell_angle_beta 65.61
_cell_angle_gamma 65.61
_symmetry_space_group_name_H-M 'P 1'
_symmetry_Int_Tables_number 1
_symmetry_space_group_name_Hall 'P 1'
loop_
_atom_site_label
_atom_site_type_symbol
_atom_site_fract_x
_atom_site_fract_y
_atom_site_fract_z
_atom_site_occupancy
Ba1 Ba 0.0018 0.5027 0.4987 1
Ga1 Ga 0.5021 0.0028 0.9987 1
H1 H 0.6658 0.0626 0.6095 1
H2 H 0.3379 0.9428 0.3879 1
H3 H 0.3379 0.3919 0.9388 1
H4 H 0.6658 0.6135 0.0586 1
```

---

A relaxed structure of Ba6Ga2H, computed with PBE-GGA.

* calculated total energy: -2.56 eV/atom
* crystal system: monoclinic

```
data_Ba6Ga2H
_chemical_formula_sum 'Ba12 Ga4 H2'
_cell_length_a 7.8364
_cell_length_b 8.3831
_cell_length_c 11.4360
_cell_angle_alpha 90.00
_cell_angle_beta 89.97
_cell_angle_gamma 90.00
_symmetry_space_group_name_H-M 'P 1'
_symmetry_Int_Tables_number 1
_symmetry_space_group_name_Hall 'P 1'
loop_
_atom_site_label
_atom_site_type_symbol
_atom_site_fract_x
_atom_site_fract_y
_atom_site_fract_z
_atom_site_occupancy
Ba1 Ba 0.8748 0.9709 0.2547 1
Ba2 Ba 0.8164 0.6902 0.5643 1
Ba3 Ba 0.8084 0.6828 0.9365 1
Ba4 Ba 0.6916 0.1828 0.5635 1
Ba5 Ba 0.6836 0.1902 0.9357 1
Ba6 Ba 0.6252 0.4709 0.2453 1
Ba7 Ba 0.1252 0.0291 0.7453 1
Ba8 Ba 0.1836 0.3098 0.4357 1
Ba9 Ba 0.1916 0.3172 0.0635 1
Ba10 Ba 0.3084 0.8172 0.4365 1
Ba11 Ba 0.3164 0.8098 0.0643 1
Ba12 Ba 0.3748 0.5291 0.7547 1
Ga1 Ga 0.9624 0.4071 0.7495 1
Ga2 Ga 0.5376 0.9071 0.7505 1
Ga3 Ga 0.4624 0.0929 0.2495 1
Ga4 Ga 0.0376 0.5929 0.2505 1
H1 H 0.5000 0.5000 0.0000 1
H2 H 0.0000 0.0000 0.5000 1
```

---

A relaxed structure of Ba12Ga6H, computed with PBE-GGA.

* calculated total energy: -2.48 eV/atom
* crystal system: trigonal

```
data_Ba12Ga6H
_chemical_formula_sum 'Ba12 Ga6 H1'
_cell_length_a 9.6367
_cell_length_b 9.6367
_cell_length_c 9.6367
_cell_angle_alpha 98.05
_cell_angle_beta 98.05
_cell_angle_gamma 98.05
_symmetry_space_group_name_H-M 'P 1'
_symmetry_Int_Tables_number 1
_symmetry_space_group_name_Hall 'P 1'
loop_
_atom_site_label
_atom_site_type_symbol
_atom_site_fract_x
_atom_site_fract_y
_atom_site_fract_z
_atom_site_occupancy
Ba1 Ba 0.8224 0.5665 0.4185 1
Ba2 Ba 0.4185 0.8224 0.5665 1
Ba3 Ba 0.5665 0.4185 0.8224 1
Ba4 Ba 0.1776 0.4335 0.5815 1
Ba5 Ba 0.5815 0.1776 0.4335 1
Ba6 Ba 0.4335 0.5815 0.1776 1
Ba7 Ba 0.0689 0.9618 0.3151 1
Ba8 Ba 0.0382 0.6849 0.9311 1
Ba9 Ba 0.6849 0.9311 0.0382 1
Ba10 Ba 0.9311 0.0382 0.6849 1
Ba11 Ba 0.9618 0.3151 0.0689 1
Ba12 Ba 0.3151 0.0689 0.9618 1
Ga1 Ga 0.7109 0.8676 0.3760 1
Ga2 Ga 0.6240 0.2891 0.1324 1
Ga3 Ga 0.1324 0.6240 0.2891 1
Ga4 Ga 0.2891 0.1324 0.6240 1
Ga5 Ga 0.3760 0.7109 0.8676 1
Ga6 Ga 0.8676 0.3760 0.7109 1
H1 H 0.0000 0.0000 0.0000 1
```

---

A relaxed structure of Ba12Ga3H5, computed with PBE-GGA.

* calculated total energy: -2.71 eV/atom
* crystal system: cubic

```
data_Ba12Ga3H5
_chemical_formula_sum 'Ba48 Ga12 H20'
_cell_length_a 15.6728
_cell_length_b 15.6728
_cell_length_c 15.6728
_cell_angle_alpha 109.47
_cell_angle_beta 109.47
_cell_angle_gamma 109.47
_symmetry_space_group_name_H-M 'P 1'
_symmetry_Int_Tables_number 1
_symmetry_space_group_name_Hall 'P 1'
loop_
_atom_site_label
_atom_site_type_symbol
_atom_site_fract_x
_atom_site_fract_y
_atom_site_fract_z
_atom_site_occupancy
Ga1 Ga 0.7500 0.3750 0.1250 1
Ga2 Ga 0.8750 0.7500 0.1250 1
Ga3 Ga 0.3750 0.7500 0.6250 1
Ga4 Ga 0.2500 0.1250 0.3750 1
Ga5 Ga 0.8750 0.1250 0.2500 1
Ga6 Ga 0.3750 0.6250 0.2500 1
Ga7 Ga 0.6250 0.3750 0.7500 1
Ga8 Ga 0.1250 0.8750 0.7500 1
Ga9 Ga 0.7500 0.8750 0.6250 1
Ga10 Ga 0.6250 0.2500 0.3750 1
Ga11 Ga 0.1250 0.2500 0.8750 1
Ga12 Ga 0.2500 0.6250 0.8750 1
H1 H 0.1250 0.3750 0.2500 1
H2 H 0.0000 0.5000 0.0000 1
H3 H 0.0000 0.0000 0.0000 1
H4 H 0.3750 0.2500 0.1250 1
H5 H 0.5000 0.0000 0.5000 1
H6 H 0.5000 0.5000 0.0000 1
H7 H 0.1250 0.7500 0.3750 1
H8 H 0.7500 0.1250 0.8750 1
H9 H 0.7500 0.6250 0.3750 1
H10 H 0.3750 0.1250 0.7500 1
H11 H 0.6250 0.8750 0.2500 1
H12 H 0.5000 0.5000 0.5000 1
H13 H 0.5000 0.0000 0.0000 1
H14 H 0.0000 0.0000 0.5000 1
H15 H 0.2500 0.3750 0.6250 1
H16 H 0.2500 0.8750 0.1250 1
H17 H 0.0000 0.5000 0.5000 1
H18 H 0.8750 0.2500 0.6250 1
H19 H 0.6250 0.7500 0.8750 1
H20 H 0.8750 0.6250 0.7500 1
Ba1 Ba 0.7134 0.1226 0.0260 1
Ba2 Ba 0.3126 0.5260 0.4034 1
Ba3 Ba 0.9740 0.3774 0.2866 1
Ba4 Ba 0.5260 0.2134 0.1226 1
Ba5 Ba 0.5908 0.7134 0.6874 1
Ba6 Ba 0.9740 0.5966 0.1874 1
Ba7 Ba 0.3126 0.7866 0.4092 1
Ba8 Ba 0.0966 0.9092 0.1226 1
Ba9 Ba 0.5966 0.9740 0.6874 1
Ba10 Ba 0.7134 0.5908 0.1874 1
Ba11 Ba 0.7866 0.4740 0.3774 1
Ba12 Ba 0.8126 0.9034 0.0260 1
Ba13 Ba 0.1226 0.7134 0.5260 1
Ba14 Ba 0.3774 0.4034 0.0908 1
Ba15 Ba 0.0908 0.9034 0.3774 1
Ba16 Ba 0.4092 0.1226 0.5966 1
Ba17 Ba 0.0908 0.1874 0.2134 1
Ba18 Ba 0.4740 0.6874 0.0966 1
Ba19 Ba 0.8126 0.9092 0.2866 1
Ba20 Ba 0.1226 0.4092 0.0966 1
Ba21 Ba 0.3774 0.9740 0.7866 1
Ba22 Ba 0.5966 0.6226 0.4092 1
Ba23 Ba 0.9034 0.8126 0.5260 1
Ba24 Ba 0.7866 0.3126 0.9092 1
Ba25 Ba 0.4034 0.3774 0.5908 1
Ba26 Ba 0.0966 0.1874 0.4740 1
Ba27 Ba 0.2134 0.6874 0.0908 1
Ba28 Ba 0.1874 0.0908 0.7134 1
Ba29 Ba 0.6226 0.0260 0.2134 1
Ba30 Ba 0.8774 0.5908 0.9034 1
Ba31 Ba 0.5260 0.3126 0.9034 1
Ba32 Ba 0.5908 0.8774 0.4034 1
Ba33 Ba 0.9092 0.8126 0.7866 1
Ba34 Ba 0.9092 0.0966 0.6226 1
Ba35 Ba 0.8774 0.2866 0.4740 1
Ba36 Ba 0.1874 0.0966 0.9740 1
Ba37 Ba 0.6226 0.5966 0.9092 1
Ba38 Ba 0.4034 0.0260 0.3126 1
Ba39 Ba 0.2866 0.4092 0.8126 1
Ba40 Ba 0.2134 0.5260 0.6226 1
Ba41 Ba 0.9034 0.0908 0.8774 1
Ba42 Ba 0.6874 0.2134 0.5908 1
Ba43 Ba 0.4740 0.7866 0.8774 1
Ba44 Ba 0.0260 0.4034 0.8126 1
Ba45 Ba 0.4092 0.2866 0.3126 1
Ba46 Ba 0.0260 0.6226 0.7134 1
Ba47 Ba 0.6874 0.4740 0.5966 1
Ba48 Ba 0.2866 0.8774 0.9740 1
```

---

A relaxed structure of Ba8GaH2, computed with PBE-GGA.

* calculated total energy: -2.43 eV/atom
* crystal system: monoclinic

```
data_Ba8GaH2
_chemical_formula_sum 'Ba8 Ga1 H2'
_cell_length_a 7.4576
_cell_length_b 9.2170
_cell_length_c 9.2170
_cell_angle_alpha 60.02
_cell_angle_beta 85.22
_cell_angle_gamma 85.22
_symmetry_space_group_name_H-M 'P 1'
_symmetry_Int_Tables_number 1
_symmetry_space_group_name_Hall 'P 1'
loop_
_atom_site_label
_atom_site_type_symbol
_atom_site_fract_x
_atom_site_fract_y
_atom_site_fract_z
_atom_site_occupancy
Ba1 Ba 0.2544 0.3267 0.8689 1
Ba2 Ba 0.7456 0.1311 0.6733 1
Ba3 Ba 0.2768 0.8248 0.8248 1
Ba4 Ba 0.7232 0.1752 0.1752 1
Ba5 Ba 0.2544 0.8689 0.3267 1
Ba6 Ba 0.7456 0.6733 0.1311 1
Ba7 Ba 0.7534 0.6597 0.6597 1
Ba8 Ba 0.2466 0.3403 0.3403 1
Ga1 Ga 0.0000 0.0000 0.0000 1
H1 H 0.6367 0.8211 0.8211 1
H2 H 0.3633 0.1789 0.1789 1
```

---

A relaxed structure of BaGa3H, computed with PBE-GGA.

* calculated total energy: -2.76 eV/atom
* crystal system: cubic

```
data_BaGa3H
_chemical_formula_sum 'Ba1 Ga3 H1'
_cell_length_a 4.7743
_cell_length_b 4.7743
_cell_length_c 4.7743
_cell_angle_alpha 90.00
_cell_angle_beta 90.00
_cell_angle_gamma 90.00
_symmetry_space_group_name_H-M 'P 1'
_symmetry_Int_Tables_number 1
_symmetry_space_group_name_Hall 'P 1'
loop_
_atom_site_label
_atom_site_type_symbol
_atom_site_fract_x
_atom_site_fract_y
_atom_site_fract_z
_atom_site_occupancy
H1 H 0.0000 0.0000 0.0000 1
Ba1 Ba 0.5000 0.5000 0.5000 1
Ga1 Ga 0.0000 0.5000 0.0000 1
Ga2 Ga 0.0000 0.0000 0.5000 1
Ga3 Ga 0.5000 0.0000 0.0000 1
```

---

A relaxed structure of BaGaH4, computed with PBE-GGA.

* offset from the most stable computed form: 0.00 kJ per mole of atoms
* calculated total energy: -3.27 eV/atom
* crystal system: orthorhombic

```
data_BaGaH4
_chemical_formula_sum 'Ba2 Ga2 H8'
_cell_length_a 4.7887
_cell_length_b 5.1231
_cell_length_c 6.9361
_cell_angle_alpha 90.00
_cell_angle_beta 90.00
_cell_angle_gamma 90.00
_symmetry_space_group_name_H-M 'P 1'
_symmetry_Int_Tables_number 1
_symmetry_space_group_name_Hall 'P 1'
loop_
_atom_site_label
_atom_site_type_symbol
_atom_site_fract_x
_atom_site_fract_y
_atom_site_fract_z
_atom_site_occupancy
H1 H 0.4122 0.2500 0.0974 1
H2 H 0.9122 0.7500 0.9026 1
H3 H 0.6816 0.9864 0.3771 1
H4 H 0.1816 0.0136 0.6229 1
H5 H 0.6816 0.5135 0.3771 1
H6 H 0.1816 0.4865 0.6229 1
H7 H 0.9516 0.2500 0.0973 1
H8 H 0.4516 0.7500 0.9027 1
Ba1 Ba 0.1817 0.7500 0.2704 1
Ba2 Ba 0.6817 0.2500 0.7296 1
Ga1 Ga 0.6820 0.2500 0.2395 1
Ga2 Ga 0.1820 0.7500 0.7605 1
```